[1]
This record from Alexandria describes an optimized crystal structure of Nd7Er6Tm16. The functional is PBE.

Calculated values
- D(E_F): 52.1 states/eV/f.u.
- Crystal system: cubic
- Calculated formation energy: 0.198 eV/atom

Unit cell a=15.5068 b=15.5068 c=15.5068 alpha=90.00 beta=90.00 gamma=90.00
Space group Fm-3m (No. 225)
Asymmetric unit:
Nd 0.0000 0.0000 0.0000 (multiplicity 4)
Nd 0.0000 0.2500 0.2500 (multiplicity 24)
Er 0.0000 0.0000 0.2257 (multiplicity 24)
Tm 0.1132 0.1132 0.3868 (multiplicity 32)
Tm 0.1493 0.1493 0.1493 (multiplicity 32)

[2]
This record from Alexandria describes an optimized crystal structure of Cu2SiRh. The functional is PBE.

Calculated values
- Formation energy without anion corrections: -0.25 eV per atom
- D(E_F): 2.0 states/eV/f.u.
- Crystal system: monoclinic

Unit cell a=8.6100 b=2.8973 c=4.4065 alpha=90.00 beta=111.24 gamma=90.00
Space group Cm (No. 8)
Asymmetric unit:
Cu 0.0000 0.0000 0.0000 (multiplicity 2)
Cu 0.2424 0.0000 0.8386 (multiplicity 2)
Si 0.0182 0.5000 0.4818 (multiplicity 2)
Rh 0.2820 0.5000 0.3680 (multiplicity 2)

[3]
This record from Alexandria describes an optimized crystal structure of PmDy2Pb. The functional is PBE.

Calculated values
- D(E_F): 3.9 states/eV/f.u.
- Crystal system: monoclinic
- Calculated formation energy: -0.268 eV/atom
- Energy above the lowest structure with this stoichiometry: 26 meV/atom

Unit cell a=6.8675 b=5.2885 c=6.9065 alpha=90.00 beta=102.30 gamma=90.00
Space group P2_1/m (No. 11)
Asymmetric unit:
Pm 0.0791 0.2500 0.3490 (multiplicity 2)
Dy 0.2420 0.2500 0.8746 (multiplicity 2)
Dy 0.4100 0.7500 0.6150 (multiplicity 2)
Pb 0.2785 0.7500 0.1288 (multiplicity 2)

no.,size of the total moment (μB per cell),E_tot (eV/atom)
1,0.000,-4.364
2,0.000,-5.495
3,0.000,-4.684